1.
Computed, not measured: crystalline YMgN3 at its relaxed geometry at the PBE level of DFT.

The structure in POSCAR format:
```
YMgN3
1.0
3.908 0.000 0.000
0.000 3.908 0.000
0.000 0.000 3.908
Y Mg N
1 1 3
Cartesian
0.000 0.000 0.000
1.954 1.954 1.954
0.000 1.954 1.954
1.954 0.000 1.954
1.954 1.954 0.000
```

Computed properties:
Energy in eV/cell: -30.9
DOS at the Fermi energy in states/eV per atom: 0.7953
Total magnetization in μB per formula unit: 1.48
Energy relative to the elements, uncorrected in eV/atom: 0.42
Crystal system: cubic

2.
Computed, not measured: crystalline La2TbSn at its relaxed geometry at the PBE level of DFT.

The structure in POSCAR format:
```
La2TbSn
1.0
-3.427 4.482 4.137
3.427 -4.482 4.137
3.427 4.482 -4.137
La Tb Sn
4 2 2
Cartesian
1.713 4.901 -2.068
1.713 0.418 2.068
-1.713 4.064 2.068
1.713 4.064 2.068
3.427 2.241 -0.569
0.000 2.241 4.706
3.427 -2.241 3.749
0.000 6.724 0.387
```

Computed properties:
Energy in eV/cell: -40.5
DOS at the Fermi energy in states/eV per atom: 1.2905
Total magnetization in μB per formula unit: 0.02
DFT formation energy in eV per atom: -0.43
Polymorph energy (0 for the lowest one) in meV per atom: 25
Crystal system: orthorhombic

3.
Computed, not measured: crystalline CsAlRe3 at its relaxed geometry at the PBE level of DFT.

The structure in POSCAR format:
```
CsAlRe3
1.0
4.792 0.000 0.000
0.000 4.792 0.000
0.000 0.000 4.792
Cs Al Re
1 1 3
Cartesian
0.000 0.000 0.000
2.396 2.396 2.396
0.000 2.396 2.396
2.396 0.000 2.396
2.396 2.396 0.000
```

Computed properties:
Energy in eV/cell: -29.8
DOS at the Fermi energy in states/eV per atom: 0.8222
Total magnetization in μB per formula unit: 4.77
DFT formation energy in eV per atom: 2.43
Polymorph energy (0 for the lowest one) in meV per atom: 0
Crystal system: cubic

4.
Computed, not measured: crystalline TlAgMo2 at its relaxed geometry at the PBE level of DFT.

The structure in POSCAR format:
```
TlAgMo2
1.0
0.000 3.286 3.286
3.286 0.000 3.286
3.286 3.286 0.000
Tl Ag Mo
1 1 2
Cartesian
0.000 0.000 0.000
3.286 3.286 3.286
1.643 1.643 1.643
4.929 4.929 4.929
```

Computed properties:
Energy in eV/cell: -23.2
DOS at the Fermi energy in states/eV per atom: 1.3815
Total magnetization in μB per formula unit: 0.00
DFT formation energy in eV per atom: 0.92
Polymorph energy (0 for the lowest one) in meV per atom: 477
Crystal system: cubic

5.
Computed, not measured: crystalline ZrInNi2Pt at its relaxed geometry at the PBE level of DFT.

The structure in POSCAR format:
```
ZrInNi2Pt
1.0
4.510 0.000 0.000
0.000 4.510 0.000
0.000 0.000 5.446
Zr In Ni Pt
1 1 2 1
Cartesian
0.000 0.000 0.000
0.000 0.000 2.723
0.000 2.255 0.000
2.255 0.000 0.000
2.255 2.255 2.723
```

Computed properties:
Energy in eV/cell: -22.6
DOS at the Fermi energy in states/eV per atom: 0.8993
Total magnetization in μB per formula unit: 0.00
DFT formation energy in eV per atom: 1.26
Crystal system: tetragonal

6.
Computed, not measured: crystalline LaTlCl2 at its relaxed geometry at the PBE level of DFT.

The structure in POSCAR format:
```
LaTlCl2
1.0
3.409 -4.245 0.000
3.409 4.245 0.000
0.000 0.000 3.671
La Tl Cl
1 1 2
Cartesian
0.000 0.000 0.000
3.409 0.000 0.000
1.704 2.123 1.835
1.704 -2.123 1.835
```

Computed properties:
Energy in eV/cell: -15.5
DOS at the Fermi energy in states/eV per atom: 0.4873
Total magnetization in μB per formula unit: 0.00
Energy relative to the elements, uncorrected in eV/atom: -1.14
Polymorph energy (0 for the lowest one) in meV per atom: 286
Crystal system: orthorhombic

7.
Computed, not measured: crystalline Nb2SnMoAu at its relaxed geometry at the PBE level of DFT.

The structure in POSCAR format:
```
Nb2SnMoAu
1.0
4.784 0.000 0.000
0.000 4.784 0.000
0.000 0.000 5.179
Nb Sn Mo Au
2 1 1 1
Cartesian
0.000 2.392 0.000
2.392 0.000 0.000
0.000 0.000 2.590
2.392 2.392 0.000
2.392 2.392 2.590
```

Computed properties:
Energy in eV/cell: -32.9
DOS at the Fermi energy in states/eV per atom: 0.9793
Total magnetization in μB per formula unit: 0.00
DFT formation energy in eV per atom: 1.07
Crystal system: tetragonal

8.
Computed, not measured: crystalline MgBI2N at its relaxed geometry at the PBE level of DFT.

The structure in POSCAR format:
```
MgBI2N
1.0
6.967 0.000 0.000
0.000 6.967 0.000
0.000 0.000 2.803
Mg B I N
1 1 2 1
Cartesian
0.000 0.000 0.000
3.483 3.483 1.402
0.000 3.483 1.402
3.483 0.000 1.402
3.483 3.483 0.000
```

Computed properties:
Energy in eV/cell: -19.6
DOS at the Fermi energy in states/eV per atom: 0.7102
Total magnetization in μB per formula unit: 0.00
Energy relative to the elements, uncorrected in eV/atom: 0.02
Polymorph energy (0 for the lowest one) in meV per atom: 0
Crystal system: tetragonal

9.
Computed, not measured: crystalline Li2AgIr at its relaxed geometry at the PBE level of DFT.

The structure in POSCAR format:
```
Li2AgIr
1.0
2.718 0.000 0.000
0.000 2.718 0.000
0.000 0.000 8.610
Li Ag Ir
2 1 1
Cartesian
0.000 0.000 0.000
1.359 1.359 2.548
0.000 0.000 4.579
1.359 1.359 6.786
```

Computed properties:
Energy in eV/cell: -15.2
DOS at the Fermi energy in states/eV per atom: 0.9890
Total magnetization in μB per formula unit: 0.00
DFT formation energy in eV per atom: 0.09
Crystal system: tetragonal

10.
Computed, not measured: crystalline PmPr3Dy2Te6 at its relaxed geometry at the PBE level of DFT.

The structure in POSCAR format:
```
PmPr3Dy2Te6
1.0
9.758 -2.210 0.000
9.758 2.210 0.000
-2.198 0.000 8.739
Pm Pr Dy Te
1 3 2 6
Cartesian
0.000 0.000 0.000
-1.099 0.000 4.369
6.209 0.000 1.466
11.108 0.000 7.273
5.060 0.000 5.851
12.257 0.000 2.888
3.063 0.000 0.814
2.067 0.000 5.024
8.017 0.000 6.563
9.300 0.000 2.176
15.251 0.000 3.715
14.255 0.000 7.925
```

Computed properties:
Energy in eV/cell: -63.8
DOS at the Fermi energy in states/eV per atom: 0.5362
Total magnetization in μB per formula unit: 0.00
Energy relative to the elements, uncorrected in eV/atom: -1.38
Crystal system: monoclinic

11.
Computed, not measured: crystalline Al2VCoOs at its relaxed geometry at the PBE level of DFT.

The structure in POSCAR format:
```
Al2VCoOs
1.0
4.656 0.000 0.000
0.000 4.656 0.000
0.000 0.000 4.365
Al V Co Os
2 1 1 1
Cartesian
0.000 2.328 0.000
2.328 0.000 0.000
0.000 0.000 0.000
2.328 2.328 2.183
0.000 0.000 2.183
```

Computed properties:
Energy in eV/cell: -28.5
DOS at the Fermi energy in states/eV per atom: 1.1077
Total magnetization in μB per formula unit: 2.60
DFT formation energy in eV per atom: 1.29
Crystal system: tetragonal

12.
Computed, not measured: crystalline ScHgMo at its relaxed geometry at the PBE level of DFT.

The structure in POSCAR format:
```
ScHgMo
1.0
-1.711 1.711 5.001
1.711 -1.711 5.001
1.711 1.711 -5.001
Sc Hg Mo
1 1 1
Cartesian
0.000 0.000 0.000
0.000 0.000 6.812
0.000 0.000 3.441
```

Computed properties:
Energy in eV/cell: -16.7
DOS at the Fermi energy in states/eV per atom: 1.1779
Total magnetization in μB per formula unit: 1.33
DFT formation energy in eV per atom: 0.25
Polymorph energy (0 for the lowest one) in meV per atom: 99
Crystal system: tetragonal

13.
Computed, not measured: crystalline PaGeTe2 at its relaxed geometry at the PBE level of DFT.

The structure in POSCAR format:
```
PaGeTe2
1.0
1.932 1.115 10.042
-1.932 1.115 10.042
0.000 -2.231 10.042
Pa Ge Te
1 1 2
Cartesian
0.000 0.000 0.000
0.000 0.000 15.063
0.000 0.000 12.140
0.000 0.000 17.986
```

Computed properties:
Energy in eV/cell: -21.1
DOS at the Fermi energy in states/eV per atom: 1.0858
Total magnetization in μB per formula unit: 0.82
Energy relative to the elements, uncorrected in eV/atom: -0.17
Polymorph energy (0 for the lowest one) in meV per atom: 118
Crystal system: trigonal

14.
Computed, not measured: crystalline AgWBr2 at its relaxed geometry at the PBE level of DFT.

The structure in POSCAR format:
```
AgWBr2
1.0
0.000 3.529 3.529
3.529 0.000 3.529
3.529 3.529 0.000
Ag W Br
1 1 2
Cartesian
0.000 0.000 0.000
1.764 1.764 1.764
3.529 3.529 3.529
5.293 5.293 5.293
```

Computed properties:
Energy in eV/cell: -13.7
DOS at the Fermi energy in states/eV per atom: 1.8853
Total magnetization in μB per formula unit: 3.40
Energy relative to the elements, uncorrected in eV/atom: 1.37
Polymorph energy (0 for the lowest one) in meV per atom: 1023
Crystal system: cubic

15.
Computed, not measured: crystalline TbNp4Sb5 at its relaxed geometry at the PBE level of DFT.

The structure in POSCAR format:
```
TbNp4Sb5
1.0
-2.194 3.108 11.008
2.194 -3.108 11.008
2.194 3.108 -11.008
Tb Np Sb
1 4 5
Cartesian
0.000 0.000 0.000
0.000 0.000 4.411
0.000 0.000 8.814
0.000 0.000 13.202
0.000 0.000 17.604
2.194 0.000 2.213
2.194 0.000 6.615
0.000 3.108 0.000
0.000 3.108 4.393
0.000 3.108 8.795
```

Computed properties:
Energy in eV/cell: -80.8
DOS at the Fermi energy in states/eV per atom: 4.1747
Total magnetization in μB per formula unit: 15.78
Energy relative to the elements, uncorrected in eV/atom: -0.38
Crystal system: orthorhombic

16.
Computed, not measured: crystalline Hf3Tc5H12 at its relaxed geometry at the PBE level of DFT.

The structure in POSCAR format:
```
Hf3Tc5H12
1.0
-5.536 5.536 5.536
5.536 -5.536 5.536
5.536 5.536 -5.536
Hf Tc H
12 20 48
Cartesian
2.768 1.384 0.000
5.536 2.768 -1.384
1.384 0.000 2.768
6.920 0.000 2.768
0.000 2.768 1.384
2.768 -1.384 5.536
2.768 6.920 0.000
5.536 2.768 4.152
-1.384 5.536 2.768
4.152 5.536 2.768
0.000 2.768 6.920
2.768 4.152 5.536
0.000 0.000 0.000
2.768 2.768 -2.768
2.768 -2.768 2.768
5.536 0.000 0.000
8.304 1.384 0.000
5.536 -2.768 4.152
4.152 5.536 -2.768
4.152 0.000 2.768
2.768 4.152 0.000
5.536 2.768 1.384
-2.768 2.768 2.768
0.000 5.536 0.000
0.000 0.000 5.536
2.768 2.768 2.768
0.000 2.768 4.152
2.768 1.384 5.536
1.384 5.536 2.768
1.384 0.000 8.304
0.000 8.304 1.384
-2.768 4.152 5.536
1.637 -0.230 0.743
6.667 3.511 -2.998
5.306 -0.743 1.637
8.534 -1.131 2.024
7.173 0.230 0.743
6.667 -2.024 2.998
0.743 1.637 -0.230
7.560 2.538 -1.131
3.511 2.998 -1.131
4.792 1.637 0.230
-0.230 0.743 1.637
2.998 -1.131 3.511
5.306 4.792 -1.637
2.998 1.131 2.024
4.792 -1.637 5.306
3.511 -2.998 6.667
2.024 2.998 1.131
6.279 3.899 0.230
1.637 5.306 -0.743
6.667 2.024 2.538
2.998 6.667 -2.024
5.306 0.743 3.899
1.131 2.024 2.998
1.637 0.230 4.792
3.899 5.306 0.743
4.405 3.511 2.538
0.230 4.792 1.637
2.538 -1.131 7.560
-1.131 3.511 2.998
3.899 0.230 6.279
-0.743 1.637 5.306
3.511 2.538 4.405
2.024 8.534 -1.131
0.743 7.173 0.230
2.538 4.405 3.511
0.230 0.743 7.173
2.538 6.667 2.024
5.766 4.792 3.899
0.743 3.899 5.306
2.024 2.538 6.667
-2.024 2.998 6.667
4.792 3.899 5.766
-1.131 7.560 2.538
-1.637 5.306 4.792
-2.998 6.667 3.511
0.230 6.279 3.899
-1.131 2.024 8.534
3.899 5.766 4.792
```

Computed properties:
Energy in eV/cell: -500.1
DOS at the Fermi energy in states/eV per atom: 0.3108
Total magnetization in μB per formula unit: 0.00
Crystal system: cubic

17.
Computed, not measured: crystalline Tb3Nd5In at its relaxed geometry at the PBE level of DFT.

The structure in POSCAR format:
```
Tb3Nd5In
1.0
6.876 -4.034 0.000
6.876 4.034 0.000
-1.210 0.000 11.476
Tb Nd In
6 10 2
Cartesian
0.000 0.000 0.000
-0.605 0.000 5.738
2.958 0.000 5.445
3.607 0.000 8.981
8.935 0.000 2.494
9.584 0.000 6.031
4.859 2.304 2.833
3.229 0.000 0.431
6.876 1.370 0.000
7.683 2.304 8.642
5.985 0.000 7.202
6.557 0.000 4.273
4.859 -2.304 2.833
6.876 -1.370 0.000
9.313 0.000 11.045
7.683 -2.304 8.642
1.003 0.000 2.961
11.539 0.000 8.515
```

Computed properties:
Energy in eV/cell: -74.4
DOS at the Fermi energy in states/eV per atom: 1.4055
Total magnetization in μB per formula unit: 0.00
DFT formation energy in eV per atom: 0.36
Crystal system: monoclinic

18.
Computed, not measured: crystalline CdBr3 at its relaxed geometry at the PBE level of DFT.

The structure in POSCAR format:
```
CdBr3
1.0
6.425 -1.943 0.000
6.425 1.943 0.000
-1.735 0.000 5.561
Cd Br
1 3
Cartesian
0.000 0.000 0.000
3.030 0.000 4.592
5.558 0.000 2.781
8.086 0.000 0.970
```

Computed properties:
Energy in eV/cell: -7.4
DOS at the Fermi energy in states/eV per atom: 0.2627
Total magnetization in μB per formula unit: 1.00
Energy relative to the elements, uncorrected in eV/atom: -0.37
Crystal system: monoclinic

19.
Computed, not measured: crystalline YBe2Tc at its relaxed geometry at the PBE level of DFT.

The structure in POSCAR format:
```
YBe2Tc
1.0
3.795 -1.776 0.000
3.795 1.776 0.000
-1.737 0.000 4.701
Y Be Tc
1 2 1
Cartesian
0.000 0.000 0.000
0.586 0.000 2.781
5.266 0.000 1.920
2.926 0.000 2.351
```

Computed properties:
Energy in eV/cell: -24.5
DOS at the Fermi energy in states/eV per atom: 0.6870
Total magnetization in μB per formula unit: 0.00
DFT formation energy in eV per atom: -0.06
Polymorph energy (0 for the lowest one) in meV per atom: 28
Crystal system: monoclinic

20.
Computed, not measured: crystalline Ag4PBr at its relaxed geometry at the PBE level of DFT.

The structure in POSCAR format:
```
Ag4PBr
1.0
0.000 3.944 3.944
3.944 0.000 3.944
3.944 3.944 0.000
Ag P Br
4 1 1
Cartesian
2.965 2.965 2.965
4.923 4.923 2.965
4.923 2.965 4.923
2.965 4.923 4.923
5.917 5.917 5.917
0.000 0.000 0.000
```

Computed properties:
Energy in eV/cell: -15.5
DOS at the Fermi energy in states/eV per atom: 0.8343
Total magnetization in μB per formula unit: 0.02
Energy relative to the elements, uncorrected in eV/atom: 0.49
Crystal system: cubic